Compound: Na2PdSe2
Source: Alexandria
Functional: meta-GGA SCAN
Structure: single point on PBEsol structure

POSCAR file:
```
Na2PdSe2
1.0
1.847 -5.347 0.000
1.847 5.347 0.000
0.000 0.000 11.214
Na Pd Se
4 2 4
direct
0.065 0.935 0.500
0.327 0.673 0.276
0.673 0.327 0.776
0.935 0.065 0.000
0.364 0.636 0.619
0.636 0.364 0.119
0.051 0.949 0.240
0.220 0.780 0.997
0.780 0.220 0.497
0.949 0.051 0.740
```

Output
Its space group is Cmc2_1 (36). The raw formation energy comes out at -4.71 eV per formula unit. As for the crystal system: orthorhombic.

Compound: VSbRh
Source: Alexandria
Functional: meta-GGA SCAN
Structure: single point on PBEsol structure

POSCAR file:
```
VSbRh
1.0
0.000 2.997 2.997
2.997 0.000 2.997
2.997 2.997 0.000
V Sb Rh
1 1 1
direct
0.000 0.000 0.000
0.500 0.500 0.500
0.750 0.750 0.750
```

Output
Its space group is F-43m (216). The raw formation energy comes out at -1.48 eV per formula unit. The calculation puts the density of states at the Fermi level at 1.79 states/eV/cell. As for the crystal system: cubic.